(1)
A relaxed Ac6CoTe3Se2 crystal, computed with PBE-GGA.

Output
Spin magnetization, Bohr magnetons per cell: 0.01
Volume, Å³/atom: 34.6
DFT total energy, eV/atom: -5.375
Uncorrected formation energy, eV/atom: -1.3629

abc: 7.902 7.902 8.103
angles: 99.54 99.54 119.57
Atoms (fractional coordinates):
Ac  0.071  0.380  0.217
Ac  0.238  0.238  0.773
Ac  0.380  0.071  0.217
Ac  0.620  0.929  0.783
Ac  0.762  0.762  0.227
Ac  0.929  0.620  0.783
Co  0.000  0.000  0.000
Te  0.178  0.822  0.500
Te  0.500  0.500  0.500
Te  0.822  0.178  0.500
Se  0.335  0.665  0.000
Se  0.665  0.335  0.000


(2)
A relaxed ZnSiMo4 crystal, computed with PBE-GGA.

Output
Spin magnetization, Bohr magnetons per cell: 0.00
Volume, Å³/atom: 16.7
DFT total energy, eV/atom: -7.779
Uncorrected formation energy, eV/atom: 0.5579

abc: 5.209 5.209 5.209
angles: 60.00 60.00 60.00
Atoms (fractional coordinates):
Zn  0.000  0.000  0.000
Si  0.250  0.250  0.250
Mo  0.123  0.626  0.626
Mo  0.626  0.123  0.626
Mo  0.626  0.626  0.123
Mo  0.626  0.626  0.626


(3)
A relaxed RbSnF3 crystal, computed with PBE-GGA.

Output
Spin magnetization, Bohr magnetons per cell: 0.00
Volume, Å³/atom: 23.1
DFT total energy, eV/atom: -4.610
Uncorrected formation energy, eV/atom: -2.4933

abc: 7.624 7.624 8.148
angles: 90.14 90.14 77.41
Atoms (fractional coordinates):
Rb  0.228  0.272  0.063
Rb  0.272  0.228  0.563
Rb  0.728  0.772  0.437
Rb  0.772  0.728  0.937
Sn  0.226  0.774  0.250
Sn  0.274  0.726  0.750
Sn  0.726  0.274  0.250
Sn  0.774  0.226  0.750
F  0.011  0.765  0.666
F  0.153  0.652  0.000
F  0.235  0.989  0.834
F  0.266  0.510  0.333
F  0.348  0.847  0.500
F  0.490  0.734  0.167
F  0.510  0.266  0.833
F  0.652  0.153  0.500
F  0.734  0.490  0.667
F  0.765  0.011  0.166
F  0.847  0.348  0.000
F  0.989  0.235  0.334


(4)
A relaxed POsCS crystal, computed with PBE-GGA.

Output
Spin magnetization, Bohr magnetons per cell: 0.00
Volume, Å³/atom: 16.6
DFT total energy, eV/atom: -7.066
Uncorrected formation energy, eV/atom: 0.4319
E above lowest polymorph, meV/atom: 110

abc: 3.664 3.784 5.038
angles: 89.45 75.82 78.80
Atoms (fractional coordinates):
P  0.000  0.000  0.000
Os  0.062  0.494  0.271
C  0.601  0.326  0.170
S  0.912  0.003  0.587


(5)
A relaxed Ti4TlO7 crystal, computed with PBE-GGA.

Output
Spin magnetization, Bohr magnetons per cell: 2.13
Volume, Å³/atom: 18.1
DFT total energy, eV/atom: -8.258
Uncorrected formation energy, eV/atom: -2.5368

abc: 14.097 5.464 5.636
angles: 90.00 90.00 90.00
Atoms (fractional coordinates):
Ti  0.125  0.197  0.000
Ti  0.244  0.358  0.562
Ti  0.256  0.642  0.062
Ti  0.375  0.803  0.500
Ti  0.625  0.803  0.500
Ti  0.744  0.642  0.062
Ti  0.756  0.358  0.562
Ti  0.875  0.197  0.000
Tl  0.000  0.567  0.467
Tl  0.500  0.433  0.967
O  0.000  0.263  0.092
O  0.124  0.252  0.674
O  0.165  0.879  0.046
O  0.195  0.379  0.236
O  0.305  0.621  0.736
O  0.335  0.121  0.546
O  0.376  0.748  0.174
O  0.500  0.737  0.592
O  0.624  0.748  0.174
O  0.665  0.121  0.546
O  0.695  0.621  0.736
O  0.805  0.379  0.236
O  0.835  0.879  0.046
O  0.876  0.252  0.674


(6)
A relaxed CdCu2Br crystal, computed with PBE-GGA.

Output
Spin magnetization, Bohr magnetons per cell: 0.00
Volume, Å³/atom: 20.6
DFT total energy, eV/atom: -2.437
Uncorrected formation energy, eV/atom: 0.2580
E above lowest polymorph, meV/atom: 208

abc: 3.672 3.672 12.220
angles: 90.00 90.00 90.00
Atoms (fractional coordinates):
Cd  0.000  0.000  0.000
Cd  0.500  0.500  0.500
Cu  0.000  0.000  0.500
Cu  0.000  0.500  0.750
Cu  0.500  0.000  0.250
Cu  0.500  0.500  0.000
Br  0.000  0.500  0.250
Br  0.500  0.000  0.750


(7)
A relaxed KMg2ZrFe crystal, computed with PBE-GGA.

Output
ΔE_f, eV per atom: 0.35
Spin magnetization, Bohr magnetons per cell: 0.00
Volume, Å³/atom: 25.6
DFT total energy, eV/atom: -3.906

abc: 5.284 5.284 4.587
angles: 90.00 90.00 90.00
Atoms (fractional coordinates):
K  0.000  0.000  0.000
Mg  0.000  0.500  0.500
Mg  0.500  0.000  0.500
Zr  0.500  0.500  0.000
Fe  0.500  0.500  0.500


(8)
A relaxed CdAs2Se crystal, computed with PBE-GGA.

Output
Spin magnetization, Bohr magnetons per cell: 0.00
Volume, Å³/atom: 22.2
DFT total energy, eV/atom: -3.116
Uncorrected formation energy, eV/atom: 0.3082
E above lowest polymorph, meV/atom: 423

abc: 3.404 4.865 10.701
angles: 90.00 90.00 90.00
Atoms (fractional coordinates):
Cd  0.000  0.000  0.000
Cd  0.500  0.500  0.000
As  0.000  0.000  0.529
As  0.000  0.500  0.716
As  0.500  0.000  0.716
As  0.500  0.500  0.529
Se  0.000  0.500  0.257
Se  0.500  0.000  0.257


(9)
A relaxed AlSnAs2Br crystal, computed with PBE-GGA.

Output
Spin magnetization, Bohr magnetons per cell: 1.19
Volume, Å³/atom: 31.9
DFT total energy, eV/atom: -3.124
Uncorrected formation energy, eV/atom: 0.6190
E above lowest polymorph, meV/atom: 444

abc: 5.288 5.288 5.710
angles: 90.00 90.00 90.00
Atoms (fractional coordinates):
Al  0.000  0.000  0.000
Sn  0.500  0.500  0.500
As  0.000  0.500  0.500
As  0.500  0.000  0.500
Br  0.500  0.500  0.000


(10)
A relaxed BeSb2Te crystal, computed with PBE-GGA.

Output
Spin magnetization, Bohr magnetons per cell: 0.00
Volume, Å³/atom: 24.0
DFT total energy, eV/atom: -3.171
Uncorrected formation energy, eV/atom: 0.6071
E above lowest polymorph, meV/atom: 518

abc: 3.631 5.073 5.214
angles: 90.00 90.00 90.00
Atoms (fractional coordinates):
Be  0.000  0.000  0.000
Sb  0.000  0.500  0.500
Sb  0.500  0.500  0.000
Te  0.500  0.000  0.500


(11)
A relaxed MgNiMo crystal, computed with PBE-GGA.

Output
ΔE_f, eV per atom: 0.11
Spin magnetization, Bohr magnetons per cell: 0.00
Volume, Å³/atom: 14.9
DFT total energy, eV/atom: -5.956
E above lowest polymorph, meV/atom: 103

abc: 2.720 4.374 7.542
angles: 90.00 95.36 90.00
Atoms (fractional coordinates):
Mg  0.000  0.000  0.000
Mg  0.207  0.500  0.225
Ni  0.424  0.000  0.705
Ni  0.508  0.500  0.891
Mo  0.692  0.000  0.400
Mo  0.963  0.500  0.591


(12)
A relaxed SiHg crystal, computed with PBE-GGA.

Output
Spin magnetization, Bohr magnetons per cell: 0.00
Volume, Å³/atom: 22.0
DFT total energy, eV/atom: -2.408
Uncorrected formation energy, eV/atom: 0.4547
E above lowest polymorph, meV/atom: 309

abc: 2.975 2.975 11.498
angles: 90.00 90.00 120.00
Atoms (fractional coordinates):
Si  0.333  0.667  0.085
Si  0.667  0.333  0.915
Hg  0.333  0.667  0.649
Hg  0.667  0.333  0.351